VASP calculation (PBE) on crystalline TlTeOs at its relaxed geometry.

Cell lengths 6.549, 6.549, 6.549 Å; angles 90.00, 90.00, 90.00 degrees
Space group F-43m (No. 216)
Asymmetric unit:
Tl: 0.000 0.000 0.000 (multiplicity 4)
Te: 0.000 0.000 0.500 (multiplicity 4)
Os: 0.250 0.250 0.250 (multiplicity 4)

## Properties
Electronic total energy ... -59.0 eV per cell
Mass density ... 12.348 g/cm3
E_form (uncorrected) ... 2.00 eV/f.u.
Density of states at the Fermi level ... 12.69 states/eV per cell
Energy above the most stable polymorph in this dataset ... 182 meV/atom